A relaxed CaH2CClO3 crystal. Source: Alexandria, functional GGA-PBE.

Values from the calculation:
ρ = 1.67 g/cm3
DOS at the Fermi energy = 0.0 states/eV per cell
SG = C2/m
magnetic moment = 0.00 μB per formula unit
energy above the lowest structure with this stoichiometry = 11.03 kJ/mol of atoms

Cell: 6.491 6.491 7.103 Å, 88.19 88.19 113.99°
Positions (direct):
H: 0.182 0.788 0.114
H: 0.212 0.818 0.886
H: 0.818 0.212 0.886
H: 0.788 0.182 0.114
Ca: 0.763 0.763 0.863
Ca: 0.237 0.237 0.137
C: 0.073 0.927 0.500
C: 0.927 0.073 0.500
O: 0.041 0.791 0.640
O: 0.209 0.959 0.360
O: 0.959 0.209 0.360
O: 0.791 0.041 0.640
O: 0.146 0.854 0.000
O: 0.854 0.146 0.000
Cl: 0.601 0.601 0.220
Cl: 0.399 0.399 0.780